(1)
Compound: Zr2TeRh
Source: Alexandria
Functional: PBE
Structure: relaxed

a b c (Å): 3.4211 3.4211 26.3660
angles (deg): 90.00 90.00 120.00
Fractional positions:
Zr  0.0000  0.0000  0.0000
Zr  0.0000  0.0000  0.2370
Zr  0.3333  0.6667  0.6667
Zr  0.3333  0.6667  0.9037
Zr  0.6667  0.3333  0.3333
Zr  0.6667  0.3333  0.5704
Te  0.0000  0.0000  0.4862
Te  0.3333  0.6667  0.1528
Te  0.6667  0.3333  0.8195
Rh  0.0000  0.0000  0.7316
Rh  0.3333  0.6667  0.3983
Rh  0.6667  0.3333  0.0649

Calculated values
**E_tot**: -28.6 eV per formula unit
**E_form (uncorrected)**: -24 kJ per mole of atoms

=====

(2)
Compound: Rb2NiAg2
Source: Alexandria
Functional: PBE
Structure: relaxed

a b c (Å): 7.0241 7.0241 5.6974
angles (deg): 90.00 90.00 90.00
Fractional positions:
Rb  0.1787  0.3213  0.0000
Rb  0.3213  0.8213  0.0000
Rb  0.6787  0.1787  0.0000
Rb  0.8213  0.6787  0.0000
Ni  0.0000  0.0000  0.5000
Ni  0.5000  0.5000  0.5000
Ag  0.1469  0.6469  0.5000
Ag  0.3531  0.1469  0.5000
Ag  0.6469  0.8531  0.5000
Ag  0.8531  0.3531  0.5000

Calculated values
**E_tot**: -11.4 eV per formula unit
**Formation energy from the elements**: 0.407 eV/atom

=====

(3)
Compound: CrAsSe2S
Source: Alexandria
Functional: PBE
Structure: relaxed

a b c (Å): 4.5494 4.5494 4.8941
angles (deg): 90.00 90.00 90.00
Fractional positions:
Cr  0.0000  0.0000  0.0000
As  0.0000  0.0000  0.5000
Se  0.0000  0.5000  0.0000
Se  0.5000  0.0000  0.0000
S  0.5000  0.5000  0.5000

Calculated values
**E_tot**: -23.0 eV per formula unit
**E_form (uncorrected)**: 45 kJ per mole of atoms

=====

(4)
Compound: LiZr6O12
Source: Alexandria
Functional: PBE
Structure: relaxed

a b c (Å): 6.2477 6.2477 6.2477
angles (deg): 99.84 99.84 99.84
Fractional positions:
Li  0.0000  0.0000  0.0000
Zr  0.1346  0.6072  0.2900
Zr  0.2900  0.1346  0.6072
Zr  0.3928  0.7100  0.8654
Zr  0.6072  0.2900  0.1346
Zr  0.7100  0.8654  0.3928
Zr  0.8654  0.3928  0.7100
O  0.0722  0.9235  0.3271
O  0.0765  0.6729  0.9278
O  0.1790  0.4280  0.5642
O  0.3271  0.0722  0.9235
O  0.4280  0.5642  0.1790
O  0.4358  0.8210  0.5720
O  0.5642  0.1790  0.4280
O  0.5720  0.4358  0.8210
O  0.6729  0.9278  0.0765
O  0.8210  0.5720  0.4358
O  0.9235  0.3271  0.0722
O  0.9278  0.0765  0.6729

Calculated values
**E_tot**: -172.5 eV per formula unit
**E_form (uncorrected)**: -304 kJ per mole of atoms

=====

(5)
Compound: ZnNi4Au
Source: Alexandria
Functional: PBE
Structure: relaxed

a b c (Å): 4.7613 4.7613 4.7613
angles (deg): 60.00 60.00 60.00
Fractional positions:
Zn  0.0000  0.0000  0.0000
Ni  0.3748  0.3748  0.3748
Ni  0.3748  0.3748  0.8756
Ni  0.3748  0.8756  0.3748
Ni  0.8756  0.3748  0.3748
Au  0.7500  0.7500  0.7500

Calculated values
**E_tot**: -27.5 eV per formula unit
**Formation energy from the elements**: 0.031 eV/atom

=====

(6)
Compound: AcAgP2Pt5
Source: Alexandria
Functional: PBE
Structure: relaxed

a b c (Å): 4.4567 4.4567 8.3239
angles (deg): 90.00 90.00 90.00
Fractional positions:
Ac  0.0000  0.0000  0.0000
Ag  0.0000  0.0000  0.5000
P  0.5000  0.5000  0.1859
P  0.5000  0.5000  0.8141
Pt  0.0000  0.5000  0.2838
Pt  0.0000  0.5000  0.7162
Pt  0.5000  0.0000  0.2838
Pt  0.5000  0.0000  0.7162
Pt  0.5000  0.5000  0.5000

Calculated values
**E_tot**: -53.3 eV per formula unit
**Formation energy from the elements**: -0.594 eV/atom

=====

(7)
Compound: Li2CrCo
Source: Alexandria
Functional: PBE
Structure: relaxed

a b c (Å): 2.8069 4.0198 9.0233
angles (deg): 90.00 90.00 90.00
Fractional positions:
Li  0.0000  0.0000  0.0000
Li  0.0000  0.5000  0.2886
Li  0.5000  0.0000  0.2886
Li  0.5000  0.5000  0.0000
Cr  0.0000  0.0000  0.5448
Cr  0.5000  0.5000  0.5448
Co  0.0000  0.5000  0.7623
Co  0.5000  0.0000  0.7623

Calculated values
**E_tot**: -19.5 eV per formula unit
**Formation energy from the elements**: 0.259 eV/atom

=====

(8)
Compound: LiNbRu2
Source: Alexandria
Functional: PBE
Structure: relaxed

a b c (Å): 4.3398 4.3398 6.1151
angles (deg): 90.00 90.00 90.00
Fractional positions:
Li  0.0000  0.0000  0.0000
Li  0.5000  0.5000  0.5000
Nb  0.0000  0.0000  0.5000
Nb  0.5000  0.5000  0.0000
Ru  0.0000  0.5000  0.2500
Ru  0.0000  0.5000  0.7500
Ru  0.5000  0.0000  0.2500
Ru  0.5000  0.0000  0.7500

Calculated values
**E_tot**: -31.0 eV per formula unit
**Formation energy from the elements**: -0.105 eV/atom

=====

(9)
Compound: NdB2PbO6
Source: Alexandria
Functional: PBE
Structure: relaxed

a b c (Å): 6.6192 6.6192 6.7741
angles (deg): 100.64 100.64 102.22
Fractional positions:
Nd  0.0904  0.9096  0.7500
Nd  0.9096  0.0904  0.2500
B  0.0934  0.4043  0.7509
B  0.4043  0.0934  0.2509
B  0.5957  0.9066  0.7491
B  0.9066  0.5957  0.2491
Pb  0.4046  0.5954  0.2500
Pb  0.5954  0.4046  0.7500
O  0.0247  0.2077  0.6158
O  0.0304  0.4521  0.2388
O  0.2077  0.0247  0.1158
O  0.2979  0.4617  0.8807
O  0.4521  0.0304  0.7388
O  0.4617  0.2979  0.3807
O  0.5383  0.7021  0.6193
O  0.5479  0.9696  0.2612
O  0.7021  0.5383  0.1193
O  0.7923  0.9753  0.8842
O  0.9696  0.5479  0.7612
O  0.9753  0.7923  0.3842

Calculated values
**E_tot**: -74.9 eV per formula unit
**E_form (uncorrected)**: -225 kJ per mole of atoms

=====

(10)
Compound: MgScMo
Source: Alexandria
Functional: PBE
Structure: relaxed

a b c (Å): 4.8787 4.8787 2.7332
angles (deg): 90.00 90.00 120.00
Fractional positions:
Mg  0.0000  0.0000  0.0000
Sc  0.3333  0.6667  0.6564
Mo  0.6667  0.3333  0.2480

Calculated values
**E_tot**: -17.9 eV per formula unit
**Formation energy from the elements**: 0.271 eV/atom

=====

(11)
Compound: BaSr2Li
Source: Alexandria
Functional: PBE
Structure: relaxed

a b c (Å): 6.1344 6.1344 20.7393
angles (deg): 90.00 90.00 90.00
Fractional positions:
Ba  0.0000  0.0000  0.1473
Ba  0.0000  0.0000  0.8527
Ba  0.5000  0.5000  0.3527
Ba  0.5000  0.5000  0.6473
Sr  0.0000  0.0000  0.3508
Sr  0.0000  0.0000  0.6492
Sr  0.0000  0.5000  0.0000
Sr  0.0000  0.5000  0.5000
Sr  0.5000  0.0000  0.0000
Sr  0.5000  0.0000  0.5000
Sr  0.5000  0.5000  0.1492
Sr  0.5000  0.5000  0.8508
Li  0.0000  0.5000  0.2500
Li  0.0000  0.5000  0.7500
Li  0.5000  0.0000  0.2500
Li  0.5000  0.0000  0.7500

Calculated values
**E_tot**: -7.1 eV per formula unit
**Formation energy from the elements**: 0.020 eV/atom

=====

(12)
Compound: Y2ErGa2
Source: Alexandria
Functional: PBE
Structure: relaxed

a b c (Å): 6.3884 6.3884 10.6448
angles (deg): 118.58 118.58 42.87
Fractional positions:
Y  0.0268  0.0268  0.1880
Y  0.1858  0.1858  0.5968
Y  0.8142  0.8142  0.4032
Y  0.9732  0.9732  0.8120
Er  0.2969  0.2969  0.1466
Er  0.7031  0.7031  0.8534
Ga  0.3726  0.3726  0.9215
Ga  0.4479  0.4479  0.5848
Ga  0.5521  0.5521  0.4152
Ga  0.6274  0.6274  0.0785

Calculated values
**E_tot**: -26.0 eV per formula unit
**Formation energy from the elements**: -0.489 eV/atom

=====

Q: Which formula does entry 1 have?
A: Zr2TeRh

=====

Q: Among the records above, which one has the highest E_tot?
A: BaSr2Li

=====

Q: The highest E_tot belongs to which entry?
A: BaSr2Li